Record 1
Lu4CdAsC2: optimized geometry, PBE.

Cell: 3.5499 3.5499 14.6725 Å, 90.00 90.00 120.00°
Element x y z (fractional)
Lu 0.0000 0.0000 0.1407
Lu 0.0000 0.0000 0.8593
Lu 0.3333 0.6667 0.3177
Lu 0.3333 0.6667 0.6823
Cd 0.0000 0.0000 0.5000
As 0.3333 0.6667 0.0000
C 0.6667 0.3333 0.2331
C 0.6667 0.3333 0.7669

## Properties
VASP energy = -5.8381 eV per atom
crystal system = hexagonal
space group = P-6m2, No. 187
total moment = 0.92 μB per formula unit
ρ = 9.4 Mg/m³

Record 2
CsTcB4: optimized geometry, PBE.

Cell: 2.9285 5.8910 8.3714 Å, 90.00 90.00 90.00°
Element x y z (fractional)
Cs 0.0000 0.0000 0.0000
Cs 0.5000 0.5000 0.5000
Tc 0.0000 0.0000 0.5000
Tc 0.5000 0.5000 0.0000
B 0.0000 0.3536 0.2205
B 0.0000 0.3536 0.7795
B 0.0000 0.6464 0.2205
B 0.0000 0.6464 0.7795
B 0.5000 0.1464 0.2795
B 0.5000 0.1464 0.7205
B 0.5000 0.8536 0.2795
B 0.5000 0.8536 0.7205

## Properties
VASP energy = -5.1630 eV per atom
crystal system = orthorhombic
space group = Immm, No. 71
total moment = 0.01 μB per formula unit
ρ = 6.3 Mg/m³

Record 3
HfCuSnMo: optimized geometry, PBE.

Cell: 6.5563 6.5563 6.5563 Å, 90.00 90.00 90.00°
Element x y z (fractional)
Hf 0.0000 0.0000 0.0000
Hf 0.0000 0.5000 0.5000
Hf 0.5000 0.0000 0.5000
Hf 0.5000 0.5000 0.0000
Cu 0.2500 0.2500 0.7500
Cu 0.2500 0.7500 0.2500
Cu 0.7500 0.2500 0.2500
Cu 0.7500 0.7500 0.7500
Sn 0.0000 0.0000 0.5000
Sn 0.0000 0.5000 0.0000
Sn 0.5000 0.0000 0.0000
Sn 0.5000 0.5000 0.5000
Mo 0.2500 0.2500 0.2500
Mo 0.2500 0.7500 0.7500
Mo 0.7500 0.2500 0.7500
Mo 0.7500 0.7500 0.2500

## Properties
VASP energy = -7.0076 eV per atom
crystal system = cubic
space group = F-43m, No. 216
total moment = 0.01 μB per formula unit
ρ = 10.8 Mg/m³

Record 4
RbGaSb2Ir: optimized geometry, PBE.

Cell: 3.9140 3.9140 17.2551 Å, 90.00 90.00 90.00°
Element x y z (fractional)
Rb 0.0000 0.0000 0.0000
Rb 0.5000 0.5000 0.5000
Ga 0.0000 0.5000 0.2500
Ga 0.5000 0.0000 0.7500
Sb 0.0000 0.0000 0.3611
Sb 0.0000 0.0000 0.6389
Sb 0.5000 0.5000 0.1389
Sb 0.5000 0.5000 0.8611
Ir 0.0000 0.5000 0.7500
Ir 0.5000 0.0000 0.2500

## Properties
VASP energy = -4.3768 eV per atom
crystal system = tetragonal
space group = I-4m2, No. 119
total moment = 0.00 μB per formula unit
ρ = 7.4 Mg/m³

Record 5
ScFeCoPb: optimized geometry, PBE.

Cell: 6.2655 6.2655 6.2655 Å, 90.00 90.00 90.00°
Element x y z (fractional)
Sc 0.0000 0.0000 0.0000
Sc 0.0000 0.5000 0.5000
Sc 0.5000 0.0000 0.5000
Sc 0.5000 0.5000 0.0000
Fe 0.2500 0.2500 0.2500
Fe 0.2500 0.7500 0.7500
Fe 0.7500 0.2500 0.7500
Fe 0.7500 0.7500 0.2500
Co 0.2500 0.2500 0.7500
Co 0.2500 0.7500 0.2500
Co 0.7500 0.2500 0.2500
Co 0.7500 0.7500 0.7500
Pb 0.0000 0.0000 0.5000
Pb 0.0000 0.5000 0.0000
Pb 0.5000 0.0000 0.0000
Pb 0.5000 0.5000 0.5000

## Properties
VASP energy = -6.2931 eV per atom
crystal system = cubic
space group = F-43m, No. 216
total moment = 2.05 μB per formula unit
ρ = 9.9 Mg/m³

Record 6
TcBr: optimized geometry, PBE.

Cell: 3.0692 3.0692 4.2021 Å, 90.00 90.00 120.00°
Element x y z (fractional)
Tc 0.0000 0.0000 0.0000
Br 0.3333 0.6667 0.5000

## Properties
VASP energy = -4.9754 eV per atom
crystal system = hexagonal
space group = P-6m2, No. 187
total moment = 0.01 μB per formula unit
ρ = 8.6 Mg/m³

Record 7
Hf4HgBiN2: optimized geometry, PBE.

Cell: 3.3415 3.3415 14.2313 Å, 90.00 90.00 120.00°
Element x y z (fractional)
Hf 0.0000 0.0000 0.1669
Hf 0.0000 0.0000 0.8331
Hf 0.3333 0.6667 0.3329
Hf 0.3333 0.6667 0.6671
Hg 0.3333 0.6667 0.0000
Bi 0.0000 0.0000 0.5000
N 0.6667 0.3333 0.2468
N 0.6667 0.3333 0.7532

## Properties
VASP energy = -8.4892 eV per atom
crystal system = hexagonal
space group = P-6m2, No. 187
total moment = 0.00 μB per formula unit
ρ = 13.9 Mg/m³

Record 8
Cu4P3Se4: optimized geometry, PBE.

Cell: 6.4448 7.1048 10.6608 Å, 73.26 74.95 76.81°
Element x y z (fractional)
Cu 0.1142 0.0826 0.0958
Cu 0.1402 0.5100 0.2598
Cu 0.2993 0.7813 0.6896
Cu 0.3755 0.1205 0.2574
Cu 0.6245 0.8795 0.7426
Cu 0.7007 0.2187 0.3104
Cu 0.8598 0.4900 0.7402
Cu 0.8858 0.9174 0.9042
P 0.0959 0.0241 0.5679
P 0.1538 0.3912 0.9802
P 0.3319 0.5604 0.0478
P 0.6681 0.4396 0.9522
P 0.8462 0.6088 0.0198
P 0.9041 0.9759 0.4321
Se 0.1996 0.8394 0.2933
Se 0.2384 0.4442 0.7540
Se 0.2886 0.8784 0.9092
Se 0.2899 0.2774 0.4398
Se 0.7101 0.7226 0.5602
Se 0.7114 0.1216 0.0908
Se 0.7616 0.5558 0.2460
Se 0.8004 0.1606 0.7067

## Properties
VASP energy = -4.2360 eV per atom
crystal system = triclinic
space group = P-1, No. 2
ρ = 4.9 Mg/m³

Record 9
Sc3Ni2Ge3: optimized geometry, PBE.

Cell: 5.3139 5.3139 13.3612 Å, 90.00 90.00 135.17°
Element x y z (fractional)
Sc 0.0836 0.9164 0.6106
Sc 0.0836 0.9164 0.8894
Sc 0.3588 0.6412 0.7500
Sc 0.6412 0.3588 0.2500
Sc 0.9164 0.0836 0.1106
Sc 0.9164 0.0836 0.3894
Ni 0.2069 0.7931 0.1004
Ni 0.2069 0.7931 0.3996
Ni 0.7931 0.2069 0.6004
Ni 0.7931 0.2069 0.8996
Ge 0.3472 0.6528 0.2500
Ge 0.3800 0.6200 0.5399
Ge 0.3800 0.6200 0.9601
Ge 0.6200 0.3800 0.0399
Ge 0.6200 0.3800 0.4601
Ge 0.6528 0.3472 0.7500

## Properties
VASP energy = -6.3174 eV per atom
crystal system = orthorhombic
space group = Cmcm, No. 63
total moment = 0.00 μB per formula unit
ρ = 5.9 Mg/m³

Record 10
PmLuPa: optimized geometry, PBE.

Cell: 7.3980 7.3980 7.3980 Å, 90.00 90.00 90.00°
Element x y z (fractional)
Pm 0.0000 0.0000 0.0000
Pm 0.0000 0.5000 0.5000
Pm 0.5000 0.0000 0.5000
Pm 0.5000 0.5000 0.0000
Lu 0.2500 0.2500 0.7500
Lu 0.2500 0.7500 0.2500
Lu 0.7500 0.2500 0.2500
Lu 0.7500 0.7500 0.7500
Pa 0.0000 0.0000 0.5000
Pa 0.0000 0.5000 0.0000
Pa 0.5000 0.0000 0.0000
Pa 0.5000 0.5000 0.5000

## Properties
VASP energy = -5.1847 eV per atom
crystal system = cubic
formation energy from the elements = 1.07 eV/atom
space group = F-43m, No. 216
total moment = 1.60 μB per formula unit
ρ = 9.0 Mg/m³

Record 11
Sc4Ag3O: optimized geometry, PBE.

Cell: 5.4930 5.4930 10.7473 Å, 90.00 90.00 90.00°
Element x y z (fractional)
Sc 0.0000 0.0000 0.1935
Sc 0.0000 0.0000 0.8065
Sc 0.0000 0.5000 0.0000
Sc 0.0000 0.5000 0.5000
Sc 0.5000 0.0000 0.0000
Sc 0.5000 0.0000 0.5000
Sc 0.5000 0.5000 0.3065
Sc 0.5000 0.5000 0.6935
Ag 0.0000 0.0000 0.5000
Ag 0.0000 0.5000 0.2500
Ag 0.0000 0.5000 0.7500
Ag 0.5000 0.0000 0.2500
Ag 0.5000 0.0000 0.7500
Ag 0.5000 0.5000 0.0000
O 0.0000 0.0000 0.0000
O 0.5000 0.5000 0.5000

## Properties
VASP energy = -5.3776 eV per atom
crystal system = tetragonal
space group = I4/mmm, No. 139
total moment = 0.04 μB per formula unit
ρ = 5.3 Mg/m³

Record 12
NaInSiNi: optimized geometry, PBE.

Cell: 6.4693 6.4693 6.4693 Å, 90.00 90.00 90.00°
Element x y z (fractional)
Na 0.0000 0.0000 0.0000
Na 0.0000 0.5000 0.5000
Na 0.5000 0.0000 0.5000
Na 0.5000 0.5000 0.0000
In 0.2500 0.2500 0.7500
In 0.2500 0.7500 0.2500
In 0.7500 0.2500 0.2500
In 0.7500 0.7500 0.7500
Si 0.0000 0.0000 0.5000
Si 0.0000 0.5000 0.0000
Si 0.5000 0.0000 0.0000
Si 0.5000 0.5000 0.5000
Ni 0.2500 0.2500 0.2500
Ni 0.2500 0.7500 0.7500
Ni 0.7500 0.2500 0.7500
Ni 0.7500 0.7500 0.2500

## Properties
VASP energy = -3.4513 eV per atom
crystal system = cubic
space group = F-43m, No. 216
total moment = 0.01 μB per formula unit
ρ = 5.5 Mg/m³